# Ba2Ga3Pd2

A relaxed Ba2Ga3Pd2 crystal (PBE, Alexandria via LeMat-Bulk).

Output
ΔE_f = -0.587 eV per atom
SG = No. 12
Calculated volume = 24.56 Å³/atom

POSCAR file:
```
Ba2Ga3Pd2
1.0
6.0183 -2.1020 0.0000
6.0183 2.1020 0.0000
-4.2206 0.0000 6.7957
Ba Ga Pd
2 3 2
direct
0.1330 0.1330 0.2556 Ba
0.8670 0.8670 0.7444 Ba
0.3417 0.3417 0.0642 Ga
0.5000 0.5000 0.5000 Ga
0.6583 0.6583 0.9358 Ga
0.1247 0.1247 0.7028 Pd
0.8753 0.8753 0.2972 Pd
```

# Ba2Ga5Pd

A relaxed Ba2Ga5Pd crystal (PBE, Alexandria via LeMat-Bulk).

Output
ΔE_f = -0.475 eV per atom
E above lowest polymorph = 0.0 meV/atom
SG = No. 63
Calculated volume = 24.50 Å³/atom

POSCAR file:
```
Ba2Ga5Pd
1.0
2.3283 -8.9177 0.0000
2.3283 8.9177 0.0000
0.0000 0.0000 9.4406
Ba Ga Pd
4 10 2
direct
0.0000 0.0000 0.0000 Ba
0.0000 0.0000 0.5000 Ba
0.2026 0.7974 0.7500 Ba
0.7974 0.2026 0.2500 Ba
0.1856 0.8144 0.1099 Ga
0.1856 0.8144 0.3901 Ga
0.3554 0.6446 0.0189 Ga
0.3554 0.6446 0.4811 Ga
0.4144 0.5856 0.7500 Ga
0.5856 0.4144 0.2500 Ga
0.6446 0.3554 0.5189 Ga
0.6446 0.3554 0.9811 Ga
0.8144 0.1856 0.6099 Ga
0.8144 0.1856 0.8901 Ga
0.4395 0.5605 0.2500 Pd
0.5605 0.4395 0.7500 Pd
```

# Ba3GaPd

A relaxed Ba3GaPd crystal (PBE, Alexandria via LeMat-Bulk).

Output
ΔE_f = -0.357 eV per atom
E above lowest polymorph = 0.0 meV/atom
SG = No. 14
Calculated volume = 40.60 Å³/atom

POSCAR file:
```
Ba3GaPd
1.0
9.6578 0.0000 0.0000
0.0000 6.6585 0.0000
-2.9069 0.0000 12.6276
Ba Ga Pd
12 4 4
direct
0.0357 0.1213 0.3504 Ba
0.0357 0.3787 0.8504 Ba
0.3016 0.6876 0.4788 Ba
0.3016 0.8124 0.9788 Ba
0.3748 0.1702 0.7067 Ba
0.3748 0.3298 0.2067 Ba
0.6252 0.6702 0.7933 Ba
0.6252 0.8298 0.2933 Ba
0.6984 0.1876 0.0212 Ba
0.6984 0.3124 0.5212 Ba
0.9643 0.6213 0.1496 Ba
0.9643 0.8787 0.6496 Ba
0.0667 0.0983 0.0870 Ga
0.0667 0.4017 0.5870 Ga
0.9333 0.5983 0.4130 Ga
0.9333 0.9017 0.9130 Ga
0.2593 0.6341 0.7171 Pd
0.2593 0.8659 0.2171 Pd
0.7407 0.1341 0.7829 Pd
0.7407 0.3659 0.2829 Pd
```

# Ba2Ga4Pd

A relaxed Ba2Ga4Pd crystal (PBE, Alexandria via LeMat-Bulk).

Output
ΔE_f = -0.350 eV per atom
SG = No. 42
Calculated volume = 29.18 Å³/atom

POSCAR file:
```
Ba2Ga4Pd
1.0
0.0000 4.3818 5.4692
4.2616 0.0000 5.4692
4.2616 4.3818 0.0000
Ba Ga Pd
2 4 1
direct
0.0000 0.0000 0.5000 Ba
0.5000 0.5000 0.0000 Ba
0.0333 0.4668 0.5332 Ga
0.0438 0.4561 0.9562 Ga
0.4561 0.0438 0.5439 Ga
0.4668 0.0333 0.9667 Ga
0.7507 0.7507 0.2493 Pd
```

# Ba2GaPd4

A relaxed Ba2GaPd4 crystal (PBE, Alexandria via LeMat-Bulk).

Output
ΔE_f = -0.349 eV per atom
SG = No. 139
Calculated volume = 27.05 Å³/atom

POSCAR file:
```
Ba2GaPd4
1.0
-2.4166 2.4166 8.1060
2.4166 -2.4166 8.1060
2.4166 2.4166 -8.1060
Ba Ga Pd
2 1 4
direct
0.1463 0.1463 0.0000 Ba
0.8537 0.8537 0.0000 Ba
0.5000 0.5000 0.0000 Ga
0.0000 0.5000 0.5000 Pd
0.3511 0.3511 0.0000 Pd
0.5000 0.0000 0.5000 Pd
0.6489 0.6489 0.0000 Pd
```

# Ba2Ga4Pd5

A relaxed Ba2Ga4Pd5 crystal (PBE, Alexandria via LeMat-Bulk).

Output
ΔE_f = -0.549 eV per atom
E above lowest polymorph = 141.2 meV/atom
SG = No. 12
Calculated volume = 21.90 Å³/atom

POSCAR file:
```
Ba2Ga4Pd5
1.0
6.3280 -2.8773 0.0000
6.3280 2.8773 0.0000
-5.7002 0.0000 6.6170
Ba Ga Pd
2 4 5
direct
0.1949 0.1949 0.2546 Ba
0.8051 0.8051 0.7454 Ba
0.1283 0.1283 0.5703 Ga
0.2768 0.2768 0.9539 Ga
0.7232 0.7232 0.0461 Ga
0.8717 0.8717 0.4297 Ga
0.2090 0.6991 0.2622 Pd
0.3009 0.7910 0.7378 Pd
0.5000 0.5000 0.0000 Pd
0.6991 0.2090 0.2622 Pd
0.7910 0.3009 0.7378 Pd
```

Q: Among the records above, which one has the highest calculated volume?
A: Ba3GaPd